[1]
A plane-wave DFT calculation with PBE-GGA was carried out for a relaxed NaCu2IF2 crystal.

Geometry as POSCAR:
```
NaCu2IF2
1.0
4.9618 0.0000 0.0000
0.0000 6.3933 0.2120
0.0000 -2.0717 7.2942
I Na Cu F
2 2 4 4
Cartesian
1.2405 -0.1813 6.6129
3.7214 4.5029 0.8933
3.7214 0.2867 4.1182
1.2405 4.0349 3.3881
0.0109 0.4511 1.1350
4.9509 3.8705 6.3713
2.4700 0.4511 1.1350
2.4918 3.8705 6.3713
1.2405 2.7398 5.1437
3.7214 4.4734 4.6494
3.7214 1.5818 2.3625
1.2405 -0.1518 2.8568
```

Results
space group: P2_1/m
formation energy (no corrections): -1.20 eV per atom
ρ: 4.479 Mg/m³
electronic total energy: -43.96 eV/cell


[2]
A plane-wave DFT calculation with PBE-GGA was carried out for a relaxed CuI2OF crystal.

Geometry as POSCAR:
```
CuI2OF
1.0
5.0614 0.0000 0.0000
0.0000 5.0614 0.0000
0.0000 0.0000 3.9406
I Cu F O
2 1 1 1
Cartesian
2.5307 0.0000 0.0000
0.0000 2.5307 0.0000
2.5307 2.5307 1.9703
0.0000 0.0000 0.0000
0.0000 0.0000 1.9703
```

Results
energy above the lowest structure with this stoichiometry: 0.719 eV per atom
space group: P4/mmm
formation energy (no corrections): 0.77 eV per atom
ρ: 5.796 Mg/m³
electronic total energy: -10.19 eV/cell


[3]
A plane-wave DFT calculation with PBE-GGA was carried out for a relaxed CuI2OF crystal.

Geometry as POSCAR:
```
CuI2OF
1.0
-5.6305 -0.0238 -0.5434
-0.4026 -3.6169 4.3305
-0.2255 2.6813 2.2185
I F O Cu
2 1 1 1
Cartesian
-2.8152 -0.0119 -0.2717
-0.2013 -1.8085 2.1653
-3.1293 -0.4797 3.0028
-0.1127 1.3407 1.1093
0.0000 0.0000 0.0000
```

Results
energy above the lowest structure with this stoichiometry: 0.000 eV per atom
space group: P4/mmm
formation energy (no corrections): 0.05 eV per atom
ρ: 5.243 Mg/m³
electronic total energy: -13.78 eV/cell


[4]
A plane-wave DFT calculation with PBE-GGA was carried out for a relaxed CuPbIF2 crystal.

Geometry as POSCAR:
```
CuPbIF2
1.0
4.3239 0.0000 0.0000
0.0000 5.5608 0.0000
0.0000 0.0000 4.3239
Pb I F Cu
1 1 2 1
Cartesian
0.0000 2.7804 0.0000
2.1620 2.7804 2.1620
0.0000 0.0000 2.1620
2.1620 0.0000 0.0000
0.0000 0.0000 0.0000
```

Results
space group: P4/mmm
formation energy (no corrections): -0.90 eV per atom
ρ: 6.958 Mg/m³
electronic total energy: -17.58 eV/cell